Entry 1:
A relaxed structure of UGeC. Source: Alexandria via LeMat-Bulk, functional PBE.

- Volume: 17.861 Å³/atom
- Excess energy over the best structure of this formula in the dataset: 0.21 eV/f.u.
- Final energy: -8.013 eV/atom
- Spin magnetization: 0.000 μB/atom

POSCAR file:
```
UGeC
1.0
3.837 0.000 0.000
-1.919 3.323 0.000
0.000 0.000 4.202
U Ge C
1 1 1
direct
0.000 0.000 0.000
0.667 0.333 0.500
0.333 0.667 0.000
```

=====

Entry 2:
A relaxed structure of Ho8Ge3CSe4. Source: Alexandria via LeMat-Bulk, functional PBE.

- Volume: 23.526 Å³/atom
- Final energy: -5.883 eV/atom
- Spin magnetization: 0.000 μB/atom
- Formation energy without anion corrections: -1.281 eV per atom

POSCAR file:
```
Ho8Ge3CSe4
1.0
4.029 2.326 6.695
-4.029 2.326 6.695
0.000 -4.652 6.695
Ho Ge C Se
8 3 1 4
direct
0.247 0.247 0.247
0.263 0.729 0.729
0.271 0.271 0.737
0.271 0.737 0.271
0.729 0.263 0.729
0.729 0.729 0.263
0.737 0.271 0.271
0.753 0.753 0.753
0.000 0.000 0.500
0.000 0.500 0.000
0.500 0.000 0.000
0.500 0.500 0.500
0.000 0.000 0.000
0.000 0.500 0.500
0.500 0.000 0.500
0.500 0.500 0.000
```

=====

Entry 3:
A relaxed structure of Tb2Er2Pd3. Source: Alexandria via LeMat-Bulk, functional PBE.

- Volume: 24.116 Å³/atom
- Final energy: -5.571 eV/atom
- Spin magnetization: 0.000 μB/atom

POSCAR file:
```
Tb2Er2Pd3
1.0
4.928 0.000 0.000
-0.007 4.935 0.000
-2.432 -2.443 6.942
Tb Er Pd
2 2 3
direct
0.128 0.126 0.250
0.872 0.874 0.750
0.372 0.373 0.748
0.628 0.627 0.252
0.000 0.500 0.000
0.254 0.756 0.513
0.746 0.244 0.487
```

=====

Entry 4:
A relaxed structure of AgPt2. Source: Alexandria via LeMat-Bulk, functional PBE.

- Volume: 16.214 Å³/atom
- Excess energy over the best structure of this formula in the dataset: 0.03 eV/f.u.
- Final energy: -4.974 eV/atom
- Spin magnetization: 0.000 μB/atom

POSCAR file:
```
AgPt2
1.0
5.655 0.000 0.000
-2.828 4.898 0.000
0.000 0.000 7.025
Ag Pt
4 8
direct
0.000 0.000 0.000
0.168 0.335 0.659
0.168 0.832 0.659
0.665 0.832 0.659
0.333 0.667 0.307
0.340 0.170 0.333
0.502 0.003 0.993
0.502 0.498 0.993
0.667 0.333 0.671
0.830 0.170 0.333
0.830 0.660 0.333
0.997 0.498 0.993
```

=====

Entry 5:
A relaxed structure of YIr2Pt. Source: Alexandria via LeMat-Bulk, functional PBE.

- Volume: 17.299 Å³/atom
- Excess energy over the best structure of this formula in the dataset: 1.85 eV/f.u.
- Final energy: -7.645 eV/atom
- Spin magnetization: 0.000 μB/atom

POSCAR file:
```
YIr2Pt
1.0
2.937 0.000 0.000
0.000 2.937 0.000
0.000 0.000 8.024
Y Ir Pt
1 2 1
direct
0.000 0.000 0.000
0.500 0.500 0.270
0.500 0.500 0.730
0.000 0.000 0.500
```

=====

Entry 6:
A relaxed structure of Ag2HBr. Source: Alexandria via LeMat-Bulk, functional PBE.

- Volume: 18.145 Å³/atom
- Excess energy over the best structure of this formula in the dataset: 2.10 eV/f.u.
- Final energy: -2.199 eV/atom
- Spin magnetization: 0.000 μB/atom

POSCAR file:
```
Ag2HBr
1.0
6.622 0.000 0.000
0.000 6.622 0.000
0.000 0.000 6.622
Ag H Br
8 4 4
direct
0.250 0.250 0.250
0.250 0.250 0.750
0.250 0.750 0.250
0.250 0.750 0.750
0.750 0.250 0.250
0.750 0.250 0.750
0.750 0.750 0.250
0.750 0.750 0.750
0.000 0.000 0.000
0.000 0.500 0.500
0.500 0.000 0.500
0.500 0.500 0.000
0.000 0.000 0.500
0.000 0.500 0.000
0.500 0.000 0.000
0.500 0.500 0.500
```

=====

Entry 7:
A relaxed structure of La2YHgSb. Source: Alexandria via LeMat-Bulk, functional PBE.

- Volume: 38.738 Å³/atom
- Final energy: -3.880 eV/atom
- Spin magnetization: 0.422 μB/atom
- Formation energy without anion corrections: 0.268 eV per atom

POSCAR file:
```
La2YHgSb
1.0
5.890 0.000 0.000
0.000 5.890 0.000
0.000 0.000 5.584
La Y Hg Sb
2 1 1 1
direct
0.000 0.500 0.000
0.500 0.000 0.000
0.000 0.000 0.500
0.500 0.500 0.000
0.500 0.500 0.500
```

=====

Entry 8:
A relaxed structure of ZrTaBr. Source: Alexandria via LeMat-Bulk, functional PBE.

- Volume: 23.941 Å³/atom
- Excess energy over the best structure of this formula in the dataset: 0.00 eV/f.u.
- Final energy: -7.271 eV/atom
- Spin magnetization: 0.083 μB/atom
- Formation energy without anion corrections: 0.087 eV per atom

POSCAR file:
```
ZrTaBr
1.0
3.288 0.000 0.000
-1.644 2.848 0.000
0.000 0.000 7.671
Zr Ta Br
1 1 1
direct
0.000 0.000 0.000
0.667 0.333 0.711
0.333 0.667 0.265
```

=====

Entry 9:
A relaxed structure of NbInSe2. Source: Alexandria via LeMat-Bulk, functional PBE.

- Volume: 24.410 Å³/atom
- Final energy: -5.639 eV/atom
- Spin magnetization: 0.000 μB/atom
- Formation energy without anion corrections: -0.695 eV per atom

POSCAR file:
```
NbInSe2
1.0
3.462 0.000 0.000
-1.731 2.998 0.000
0.000 0.000 9.407
Nb In Se
1 1 2
direct
0.000 0.000 0.000
0.667 0.333 0.500
0.667 0.333 0.179
0.667 0.333 0.821
```

=====

Entry 10:
A relaxed structure of PbAuSe2. Source: Alexandria via LeMat-Bulk, functional PBE.

- Volume: 27.401 Å³/atom
- Final energy: -3.687 eV/atom
- Spin magnetization: 0.000 μB/atom
- Formation energy without anion corrections: -0.199 eV per atom

POSCAR file:
```
PbAuSe2
1.0
4.211 0.000 0.000
0.000 4.854 0.000
-0.752 0.000 5.361
Pb Au Se
1 1 2
direct
0.000 0.000 0.000
0.487 0.500 0.541
0.328 0.000 0.536
0.459 0.500 0.040
```

=====

Entry 11:
A relaxed structure of AcTbPmNd2. Source: Alexandria via LeMat-Bulk, functional PBE.

- Volume: 36.574 Å³/atom
- Final energy: -4.563 eV/atom
- Spin magnetization: 0.000 μB/atom

POSCAR file:
```
AcTbPmNd2
1.0
6.511 0.000 0.000
0.000 5.971 0.000
-3.254 0.000 9.409
Ac Tb Pm Nd
2 2 2 4
direct
0.234 0.250 0.301
0.766 0.750 0.699
0.161 0.750 0.501
0.839 0.250 0.499
0.040 0.250 0.901
0.960 0.750 0.099
0.366 0.750 0.904
0.427 0.250 0.700
0.573 0.750 0.300
0.634 0.250 0.096
```

=====

Entry 12:
A relaxed structure of Ba2SBr. Source: Alexandria via LeMat-Bulk, functional PBE.

- Volume: 30.450 Å³/atom
- Final energy: -4.054 eV/atom
- Spin magnetization: 0.000 μB/atom
- Formation energy without anion corrections: -1.642 eV per atom

POSCAR file:
```
Ba2SBr
1.0
7.869 0.000 0.000
0.000 7.869 0.000
0.000 0.000 7.869
Ba S Br
8 4 4
direct
0.250 0.250 0.250
0.250 0.250 0.750
0.250 0.750 0.250
0.250 0.750 0.750
0.750 0.250 0.250
0.750 0.250 0.750
0.750 0.750 0.250
0.750 0.750 0.750
0.000 0.000 0.000
0.000 0.500 0.500
0.500 0.000 0.500
0.500 0.500 0.000
0.000 0.000 0.500
0.000 0.500 0.000
0.500 0.000 0.000
0.500 0.500 0.500
```